Below is an optimized crystal structure of ScCuO, with properties calculated at the PBE level.

```
data_ScCuO
_space_group_name_H-M_alt 'R -3 m'
_space_group_IT_number 166
_space_group_name_Hall '-R 3 2"'
_cell_length_a 3.4477
_cell_length_b 3.4477
_cell_length_c 25.5480
_cell_angle_alpha 90.00
_cell_angle_beta 90.00
_cell_angle_gamma 120.00
loop_
_atom_site_label
_atom_site_type_symbol
_atom_site_fract_x
_atom_site_fract_y
_atom_site_fract_z
_atom_site_occupancy
Sc1 Sc 0.0000 0.0000 0.1123 1
Cu1 Cu 0.0000 0.0000 0.3605 1
O1 O 0.0000 0.0000 0.2008 1
```

Properties
M_tot: 0.0000 μB per atom
E_form (uncorrected): -171.7 kJ/mol of atoms
V: 14.6 A^3/atom
D(E_F): 4.86 states/eV per cell
mass density: 4.72 g cm⁻³
VASP energy: -6.91 eV/atom